(1)
The following is a GGA-PBE calculation of a relaxed structure of Tl2SnHg3, from Alexandria.

Cell lengths 9.5366, 9.5366, 6.1265 Å; angles 90.00, 90.00, 38.42 degrees
Element x y z (fractional)
Tl (0.0453, 0.5857, 0.5000)
Tl (0.4143, 0.9547, 0.5000)
Tl (0.5857, 0.0453, 0.0000)
Tl (0.9547, 0.4143, 0.0000)
Sn (0.4193, 0.5807, 0.6879)
Sn (0.5807, 0.4193, 0.1879)
Hg (0.0739, 0.9261, 0.3046)
Hg (0.1397, 0.5991, 0.0014)
Hg (0.4009, 0.8603, 0.0014)
Hg (0.5991, 0.1397, 0.5014)
Hg (0.8603, 0.4009, 0.5014)
Hg (0.9261, 0.0739, 0.8046)

Calculated values
E above lowest polymorph, eV/atom: 0.0000
Space-group type: No. 36
DOS(E_F), states/eV/atom: 0.42
Formation enthalpy at 0 K, eV/f.u.: 0.020
Crystal system: orthorhombic



(2)
The following is a GGA-PBE calculation of a relaxed structure of As2POsI, from Alexandria.

Cell lengths 4.5981, 4.5981, 5.0295 Å; angles 90.00, 90.00, 90.00 degrees
Element x y z (fractional)
As (0.0000, 0.5000, 0.0000)
As (0.5000, 0.0000, 0.0000)
P (0.0000, 0.0000, 0.0000)
Os (0.5000, 0.5000, 0.5000)
I (0.0000, 0.0000, 0.5000)

Calculated values
Uncorrected formation energy, eV per atom: 1.61
Space-group type: No. 123
DOS(E_F), states/eV/atom: 0.53
Crystal system: tetragonal



(3)
The following is a GGA-PBE calculation of a relaxed structure of ErSbC, from Alexandria.

Cell lengths 8.8364, 8.8364, 8.8364 Å; angles 153.90, 152.09, 38.58 degrees
Element x y z (fractional)
Er (0.1136, 0.1136, 0.0000)
Er (0.8864, 0.8864, 0.0000)
Sb (0.3100, 0.3100, 0.0000)
Sb (0.6900, 0.6900, 0.0000)
C (0.3531, 0.0000, 0.3531)
C (0.6469, 0.0000, 0.6469)

Calculated values
Uncorrected formation energy, eV per atom: -0.08
Space-group type: No. 71
DOS(E_F), states/eV/atom: 0.63
Crystal system: orthorhombic



(4)
The following is a GGA-PBE calculation of a relaxed structure of MoPt12Rh3, from Alexandria.

Cell lengths 3.9428, 3.9428, 15.8104 Å; angles 90.00, 90.00, 90.00 degrees
Element x y z (fractional)
Mo (0.0000, 0.0000, 0.0000)
Pt (0.0000, 0.5000, 0.1225)
Pt (0.0000, 0.5000, 0.3756)
Pt (0.0000, 0.5000, 0.6244)
Pt (0.0000, 0.5000, 0.8775)
Pt (0.5000, 0.0000, 0.1225)
Pt (0.5000, 0.0000, 0.3756)
Pt (0.5000, 0.0000, 0.6244)
Pt (0.5000, 0.0000, 0.8775)
Pt (0.5000, 0.5000, 0.0000)
Pt (0.5000, 0.5000, 0.2493)
Pt (0.5000, 0.5000, 0.5000)
Pt (0.5000, 0.5000, 0.7507)
Rh (0.0000, 0.0000, 0.2532)
Rh (0.0000, 0.0000, 0.5000)
Rh (0.0000, 0.0000, 0.7468)

Calculated values
Space-group type: No. 123
DOS(E_F), states/eV/atom: 1.77
Formation enthalpy at 0 K, eV/f.u.: -1.325
Crystal system: tetragonal



(5)
The following is a GGA-PBE calculation of a relaxed structure of Tm5PSe4, from Alexandria.

Cell lengths 14.6139, 14.6139, 14.6139 Å; angles 164.34, 164.34, 22.21 degrees
Element x y z (fractional)
Tm (0.0000, 0.0000, 0.0000)
Tm (0.2059, 0.2059, 0.0000)
Tm (0.4076, 0.4076, 0.0000)
Tm (0.5924, 0.5924, 0.0000)
Tm (0.7941, 0.7941, 0.0000)
P (0.5000, 0.5000, 0.0000)
Se (0.1026, 0.1026, 0.0000)
Se (0.3049, 0.3049, 0.0000)
Se (0.6951, 0.6951, 0.0000)
Se (0.8974, 0.8974, 0.0000)

Calculated values
Uncorrected formation energy, eV per atom: -1.69
Space-group type: No. 139
DOS(E_F), states/eV/atom: 0.45
Crystal system: tetragonal



(6)
The following is a GGA-PBE calculation of a relaxed structure of LaHo6Tm8, from Alexandria.

Cell lengths 9.3934, 9.3934, 6.3803 Å; angles 90.00, 90.00, 120.00 degrees
Element x y z (fractional)
La (0.0000, 0.0000, 0.0000)
Ho (0.1048, 0.4225, 0.0858)
Ho (0.3177, 0.8952, 0.0858)
Ho (0.4225, 0.3177, 0.9142)
Ho (0.5775, 0.6823, 0.0858)
Ho (0.6823, 0.1048, 0.9142)
Ho (0.8952, 0.5775, 0.9142)
Tm (0.0248, 0.6847, 0.4121)
Tm (0.3153, 0.3402, 0.4121)
Tm (0.3333, 0.6667, 0.6577)
Tm (0.3402, 0.0248, 0.5879)
Tm (0.6598, 0.9752, 0.4121)
Tm (0.6667, 0.3333, 0.3423)
Tm (0.6847, 0.6598, 0.5879)
Tm (0.9752, 0.3153, 0.5879)

Calculated values
Space-group type: No. 147
DOS(E_F), states/eV/atom: 1.40
Formation enthalpy at 0 K, eV/f.u.: 3.382
Crystal system: trigonal



Uncorrected energy across the listed records, respectively: -9.6, -19.4, -18.2, -106.7, -58.6, -64.8 eV per formula unit.